VASP calculation (PBE) on RbAlSi after structural relaxation.

Unit cell a=4.287 b=4.287 c=12.307 alpha=91.78 beta=99.28 gamma=116.33
Space group P-1 (No. 2)
Inequivalent atoms, fractional coordinates:
Rb 0.109 0.205 0.316 [2 per cell]
Al 0.281 0.798 0.079 [2 per cell]
Si 0.360 0.541 0.900 [2 per cell]

Values from the calculation:
The uncorrected energy comes out at -3.340 eV per atom. Its mass density is 2.3 g/cm3. The calculation puts the spin magnetization at 0.00 μB/atom. Its calculated volume is 33.12 Å³/atom. The formation energy from raw total energies is 0.04 eV/atom.